(1)
Ca2YScTe4, relaxed, DFT GGA-PBE; space-group type = No. 10; energy relative to the elements, uncorrected = -1.406 eV/atom; crystal system = monoclinic; DOS at the Fermi energy = 4.16 states/eV/cell
1.0
4.350 0.000 0.000
0.000 7.525 0.123
0.000 -2.638 7.224
Ca Y Te Sc
2 1 4 1
Cartesian
0.000 2.443 3.673
2.175 -1.319 3.612
2.175 3.762 0.062
0.000 5.038 1.837
2.175 1.172 1.736
0.000 -0.152 5.510
2.175 3.715 5.610
0.000 0.000 0.000

(2)
Ca2TaRhO6, relaxed, DFT GGA-PBE; space-group type = No. 14; energy relative to the elements, uncorrected = -2.468 eV/atom; crystal system = monoclinic
1.0
-0.033 5.036 -2.154
-2.099 -2.070 -4.807
-7.263 1.186 2.662
Rh O Ca Ta
2 12 4 2
Cartesian
-0.017 2.518 -1.077
-4.681 -0.442 -1.073
-7.469 0.915 -3.551
-6.467 0.400 -0.459
-3.724 1.162 -0.185
-4.637 3.561 -1.426
-2.929 3.752 -3.840
-4.759 0.590 -2.873
-8.574 3.536 -3.003
-0.821 0.616 -1.296
-1.927 3.237 -0.748
-5.672 2.990 -4.114
-7.589 4.058 -0.429
-1.807 0.093 -3.870
-3.824 -1.591 -3.908
-5.572 5.743 -0.391
-6.646 2.334 -1.762
-2.750 1.817 -2.537
-3.648 3.111 0.254
-1.050 -1.035 -2.404

(3)
ZnIn2Ga, relaxed, DFT GGA-PBE; energy of formation = 0.104 eV per atom; space-group type = No. 160; crystal system = trigonal; DOS at the Fermi energy = 1.62 states/eV/cell
1.0
-3.168 1.983 2.274
-4.032 0.301 -1.671
-3.791 -4.273 2.654
Ga In Zn
1 2 1
Cartesian
-5.497 -1.000 1.632
-3.476 -3.131 2.097
-2.705 -0.341 0.738
-4.810 1.489 0.419

(4)
P2RuPbS, relaxed, DFT GGA-PBE; space-group type = No. 123; energy relative to the elements, uncorrected = 0.245 eV/atom; crystal system = tetragonal; offset from the most stable computed form = 0 meV/atom; DOS at the Fermi energy = 2.95 states/eV/cell
1.0
-4.224 -0.557 1.394
-0.522 -3.357 -2.925
1.685 -3.492 3.707
Ru S P Pb
1 1 2 1
Cartesian
0.000 0.000 0.000
0.842 -1.746 1.853
-2.112 -0.279 0.697
-0.261 -1.678 -1.462
-1.531 -3.703 1.088

(5)
Tl2ZnHgPd, relaxed, DFT GGA-PBE; energy of formation = -0.014 eV per atom; space-group type = No. 123; crystal system = tetragonal; DOS at the Fermi energy = 1.81 states/eV/cell
1.0
-2.377 -2.016 4.346
-0.953 -4.556 -2.634
4.352 -1.803 1.544
Tl Pd Hg Zn
2 1 1 1
Cartesian
-1.188 -1.008 2.173
-0.476 -2.278 -1.317
0.000 0.000 0.000
0.511 -4.187 1.628
2.176 -0.901 0.772

(6)
Li2La3S2O4, relaxed, DFT GGA-PBE; space-group type = No. 139; energy relative to the elements, uncorrected = -2.461 eV/atom; crystal system = tetragonal; DOS at the Fermi energy = 7.12 states/eV/cell
1.0
-2.403 1.690 -2.708
0.663 -3.052 -2.492
-7.438 -4.502 6.738
O S La Li
4 2 3 2
Cartesian
-8.249 -3.552 2.156
-2.462 0.058 -0.726
-0.929 -2.312 -0.618
-6.716 -5.923 2.264
-4.944 -3.084 2.462
-4.234 -2.780 -0.924
0.000 0.000 0.000
-2.568 -1.602 1.279
-6.610 -4.263 0.259
-6.914 -4.314 3.444
-2.264 -1.551 -1.906

(7)
Hf8Tl2Re, relaxed, DFT GGA-PBE; energy of formation = 0.044 eV per atom; space-group type = No. 71; crystal system = orthorhombic; DOS at the Fermi energy = 11.85 states/eV/cell
1.0
4.998 0.000 0.000
0.000 6.702 -0.187
-2.499 -3.151 7.280
Hf Tl Re
8 2 1
Cartesian
2.499 1.857 7.140
0.000 -1.434 5.307
0.000 0.070 2.485
2.499 1.825 1.874
0.000 1.726 5.219
0.000 1.695 -0.047
2.499 4.985 1.785
2.499 3.481 4.607
0.000 3.427 2.611
2.499 0.124 4.482
2.499 0.000 0.000

(8)
ScAg2Br, relaxed, DFT GGA-PBE; space-group type = No. 47; energy relative to the elements, uncorrected = -0.186 eV/atom; crystal system = orthorhombic; offset from the most stable computed form = 199 meV/atom; DOS at the Fermi energy = 3.21 states/eV/cell
1.0
3.300 0.000 0.000
0.000 4.573 0.000
0.000 0.000 5.642
Br Ag Sc
1 2 1
Cartesian
1.650 0.000 2.821
1.650 2.286 0.000
0.000 0.000 0.000
0.000 2.286 2.821